(1)
## Ta4Si3 (GGA-PBE)

Data for a relaxed Ta4Si3 crystal.

POSCAR file:
```
Ta4Si3
1.0
-3.163 -0.388 3.834
-1.519 -1.137 -4.609
1.437 -4.767 0.703
Ta Si
4 3
direct
0.667 0.333 0.500
0.000 0.000 0.748
0.000 0.000 0.252
0.333 0.667 0.500
0.000 0.500 0.000
0.500 0.000 0.000
0.500 0.500 0.000
```

Calculated values
* raw total energy: -9.29 eV/atom
* formation energy from raw total energies: -189 meV/atom
* space-group type: P6/mmm

(2)
## PrTlPtRh (GGA-PBE)

Data for a relaxed PrTlPtRh crystal.

POSCAR file:
```
PrTlPtRh
1.0
4.915 0.000 0.000
2.457 4.256 0.000
2.457 1.419 4.013
Rh Tl Pr Pt
1 1 1 1
direct
0.250 0.250 0.250
0.000 0.000 0.000
0.500 0.500 0.500
0.750 0.750 0.750
```

Calculated values
* raw total energy: -5.60 eV/atom
* space-group type: F-43m
* formation energy: -0.46 eV per atom

(3)
## PmNd2SmEr5 (GGA-PBE)

Data for a relaxed PmNd2SmEr5 crystal.

POSCAR file:
```
PmNd2SmEr5
1.0
-5.331 1.465 -6.691
-6.780 -2.335 4.890
5.183 7.802 3.208
Er Nd Sm Pm
10 4 2 2
direct
0.848 0.928 0.276
0.428 0.348 0.276
0.000 0.000 0.000
0.500 0.500 0.000
0.572 0.652 0.724
0.072 0.572 0.724
0.152 0.072 0.724
0.928 0.428 0.276
0.348 0.848 0.276
0.652 0.152 0.724
0.617 0.117 0.000
0.117 0.383 0.000
0.883 0.617 0.000
0.383 0.883 0.000
0.750 0.250 0.500
0.250 0.750 0.500
0.250 0.250 0.500
0.750 0.750 0.500
```

Calculated values
* raw total energy: -4.39 eV/atom
* space-group type: I4/mcm
* formation energy: 0.26 eV per atom

(4)
## CuAgMo2 (GGA-PBE)

Data for a relaxed CuAgMo2 crystal.

POSCAR file:
```
CuAgMo2
1.0
9.597 -0.005 -0.003
9.200 2.729 -0.003
9.200 1.333 2.381
Ag Mo Cu
1 2 1
direct
0.496 0.496 0.496
0.252 0.252 0.252
0.004 0.004 0.004
0.749 0.749 0.749
```

Calculated values
* raw total energy: -6.79 eV/atom
* energy relative to the lowest polymorph listed for this composition: 128 meV per atom
* space-group type: R3m
* formation energy: 0.36 eV per atom

(5)
## Ac2Pr6In (GGA-PBE)

Data for a relaxed Ac2Pr6In crystal.

POSCAR file:
```
Ac2Pr6In
1.0
9.677 0.000 0.000
0.000 6.693 0.000
0.000 -3.346 5.796
Pr In Ac
6 1 2
direct
0.177 0.394 0.000
0.823 0.606 0.000
0.823 0.000 0.606
0.823 0.394 0.394
0.177 0.606 0.606
0.177 0.000 0.394
0.000 0.000 0.000
0.500 0.333 0.667
0.500 0.667 0.333
```

Calculated values
* raw total energy: -4.14 eV/atom
* space-group type: P-31m
* formation energy: 0.26 eV per atom

(6)
## Pr3HoTl4Se8 (GGA-PBE)

Data for a relaxed Pr3HoTl4Se8 crystal.

POSCAR file:
```
Pr3HoTl4Se8
1.0
-0.780 -2.940 -8.068
8.837 -2.629 0.104
-5.175 -3.011 6.204
Tl Se Pr Ho
4 8 3 1
direct
0.000 0.000 0.000
0.500 0.000 0.500
0.000 0.000 0.500
0.500 0.000 0.000
0.769 0.291 0.537
0.768 0.291 0.022
0.231 0.709 0.463
0.262 0.286 0.523
0.738 0.714 0.477
0.746 0.709 0.978
0.254 0.291 0.022
0.232 0.709 0.978
0.500 0.500 0.500
0.500 0.500 0.000
0.000 0.500 0.500
0.000 0.500 0.000
```

Calculated values
* raw total energy: -4.89 eV/atom
* formation energy from raw total energies: -1375 meV/atom
* space-group type: C2/m

(7)
## MnBAsBr2 (GGA-PBE)

Data for a relaxed MnBAsBr2 crystal.

POSCAR file:
```
MnBAsBr2
1.0
-1.291 0.567 -4.963
4.042 -2.895 -1.382
-2.719 -3.920 0.260
Br As B Mn
2 1 1 1
direct
0.500 0.000 0.000
0.000 0.500 0.000
0.000 0.000 0.500
0.500 0.500 0.500
0.000 0.000 0.000
```

Calculated values
* raw total energy: -3.81 eV/atom
* energy relative to the lowest polymorph listed for this composition: 0 meV per atom
* formation energy from raw total energies: 963 meV/atom
* space-group type: P4/mmm

(8)
## SrLa2NbOs (GGA-PBE)

Data for a relaxed SrLa2NbOs crystal.

POSCAR file:
```
SrLa2NbOs
1.0
-5.156 -0.310 1.425
1.477 -0.189 5.302
-0.250 5.346 0.260
La Nb Sr Os
2 1 1 1
direct
0.000 0.000 0.500
0.500 0.000 0.000
0.000 0.000 0.000
0.000 0.500 0.000
0.500 0.500 0.500
```

Calculated values
* raw total energy: -5.17 eV/atom
* space-group type: P4/mmm
* formation energy: 1.40 eV per atom

(9)
## SrCa5Mg2 (GGA-PBE)

Data for a relaxed SrCa5Mg2 crystal.

POSCAR file:
```
SrCa5Mg2
1.0
-1.019 -2.984 2.354
-2.519 -6.503 -6.043
7.378 -5.517 -0.512
Ca Mg Sr
5 2 1
direct
0.639 0.140 0.583
0.361 0.860 0.417
0.639 0.583 0.140
0.361 0.417 0.860
0.000 0.500 0.500
0.257 0.243 0.243
0.743 0.757 0.757
0.000 0.000 0.000
```

Calculated values
* raw total energy: -1.84 eV/atom
* space-group type: Immm
* formation energy: 0.02 eV per atom

(10)
## Pu3As3N (GGA-PBE)

Data for a relaxed Pu3As3N crystal.

POSCAR file:
```
Pu3As3N
1.0
-1.380 -3.510 5.730
-2.620 -3.050 -5.558
6.607 -2.657 -0.834
Pu As N
6 6 2
direct
0.875 0.552 0.725
0.874 0.874 0.178
0.552 0.875 0.725
0.126 0.126 0.822
0.448 0.125 0.275
0.125 0.448 0.275
0.164 0.836 0.500
0.412 0.412 0.621
0.588 0.588 0.379
0.736 0.264 0.000
0.836 0.164 0.500
0.264 0.736 0.000
0.160 0.160 0.145
0.840 0.840 0.855
```

Calculated values
* raw total energy: -10.24 eV/atom
* formation energy from raw total energies: -919 meV/atom
* space-group type: C2/m

(11)
## BaZnC (GGA-PBE)

Data for a relaxed BaZnC crystal.

POSCAR file:
```
BaZnC
1.0
-3.454 -2.261 -3.947
5.010 -0.867 -3.879
-0.734 -3.762 2.797
Zn C Ba
2 2 2
direct
0.228 0.032 0.809
0.730 0.763 0.676
0.730 0.591 0.224
0.730 0.591 0.954
0.230 0.622 0.104
0.729 0.167 0.377
```

Calculated values
* raw total energy: -4.07 eV/atom
* space-group type: Cm
* formation energy: 0.07 eV per atom

(12)
## Tl2ICl5 (GGA-PBE)

Data for a relaxed Tl2ICl5 crystal.

POSCAR file:
```
Tl2ICl5
1.0
9.804 0.000 -2.727
0.000 10.711 0.000
-0.700 0.000 12.016
Cl I Tl
20 4 8
direct
0.824 0.090 0.663
0.151 0.123 0.556
0.527 0.607 0.888
0.461 0.870 0.102
0.349 0.623 0.444
0.027 0.893 0.888
0.676 0.590 0.337
0.539 0.130 0.898
0.039 0.370 0.898
0.055 0.668 0.676
0.176 0.910 0.337
0.973 0.107 0.112
0.651 0.377 0.556
0.961 0.630 0.102
0.324 0.410 0.663
0.473 0.393 0.112
0.849 0.877 0.444
0.945 0.332 0.324
0.445 0.168 0.324
0.555 0.832 0.676
0.439 0.618 0.669
0.561 0.382 0.331
0.061 0.118 0.331
0.939 0.882 0.669
0.314 0.114 0.012
0.186 0.614 0.988
0.487 0.139 0.645
0.513 0.861 0.355
0.013 0.639 0.355
0.686 0.886 0.988
0.814 0.386 0.012
0.987 0.361 0.645
```

Calculated values
* raw total energy: -2.56 eV/atom
* energy relative to the lowest polymorph listed for this composition: 0 meV per atom
* formation energy from raw total energies: -619 meV/atom
* space-group type: P2_1/c

(13)
## Pm7Sm3Ho2 (GGA-PBE)

Data for a relaxed Pm7Sm3Ho2 crystal.

POSCAR file:
```
Pm7Sm3Ho2
1.0
-0.656 -0.458 -3.522
-2.400 -5.291 1.135
-16.643 9.177 1.909
Ho Pm Sm
2 7 3
direct
0.500 0.708 0.296
0.500 0.292 0.704
0.500 0.185 0.182
0.000 0.000 0.000
0.500 0.257 0.536
0.000 0.317 0.855
0.500 0.743 0.464
0.500 0.815 0.818
0.000 0.683 0.145
0.500 0.500 0.000
0.000 0.218 0.367
0.000 0.782 0.633
```

Calculated values
* raw total energy: -4.63 eV/atom
* energy relative to the lowest polymorph listed for this composition: 0 meV per atom
* space-group type: P2/m
* formation energy: 0.09 eV per atom

(14)
## HoPaAsN2 (GGA-PBE)

Data for a relaxed HoPaAsN2 crystal.

POSCAR file:
```
HoPaAsN2
1.0
-1.813 3.313 -0.874
-1.215 0.303 3.669
6.687 1.405 0.050
Pa N Ho As
1 2 1 1
direct
0.166 0.166 0.331
0.745 0.245 0.490
0.245 0.745 0.490
0.841 0.841 0.682
0.504 0.504 0.007
```

Calculated values
* raw total energy: -8.49 eV/atom
* formation energy from raw total energies: -1419 meV/atom
* space-group type: I4mm

(15)
## AgAs3O9 (GGA-PBE)

Data for a relaxed AgAs3O9 crystal.

POSCAR file:
```
AgAs3O9
1.0
-6.182 3.455 0.563
0.547 -1.013 7.010
3.718 6.546 0.656
O As Ag
18 6 2
direct
0.736 0.646 0.312
0.264 0.354 0.812
0.003 0.343 0.464
0.354 0.264 0.188
0.997 0.657 0.964
0.343 0.003 0.536
0.657 0.997 0.036
0.990 0.231 0.083
0.769 0.010 0.417
0.866 0.134 0.750
0.010 0.769 0.583
0.346 0.611 0.469
0.134 0.866 0.250
0.389 0.654 0.031
0.646 0.736 0.688
0.654 0.389 0.969
0.231 0.990 0.917
0.611 0.346 0.531
0.221 0.805 0.463
0.805 0.221 0.537
0.779 0.195 0.963
0.772 0.772 0.500
0.228 0.228 0.000
0.195 0.779 0.037
0.699 0.699 0.000
0.301 0.301 0.500
```

Calculated values
* raw total energy: -5.47 eV/atom
* formation energy from raw total energies: -742 meV/atom
* space-group type: C222_1

(16)
## AcZn3Rh (GGA-PBE)

Data for a relaxed AcZn3Rh crystal.

POSCAR file:
```
AcZn3Rh
1.0
4.829 0.000 0.000
0.000 4.829 0.000
0.000 0.000 4.829
Ac Zn Rh
1 3 1
direct
0.500 0.500 0.500
0.000 0.500 0.000
0.500 0.000 0.000
0.000 0.000 0.500
0.000 0.000 0.000
```

Calculated values
* raw total energy: -3.37 eV/atom
* energy relative to the lowest polymorph listed for this composition: 114 meV per atom
* space-group type: Pm-3m
* formation energy: -0.31 eV per atom

(17)
## CsHfO2 (GGA-PBE)

Data for a relaxed CsHfO2 crystal.

POSCAR file:
```
CsHfO2
1.0
2.172 0.000 7.793
-1.086 1.881 7.793
-1.086 -1.881 7.793
Hf O Cs
1 2 1
direct
0.000 0.000 0.000
0.081 0.081 0.081
0.919 0.919 0.919
0.500 0.500 0.500
```

Calculated values
* raw total energy: -6.55 eV/atom
* formation energy from raw total energies: -1367 meV/atom
* space-group type: R-3m

(18)
## Ce3GeP2 (GGA-PBE)

Data for a relaxed Ce3GeP2 crystal.

POSCAR file:
```
Ce3GeP2
1.0
-5.496 -1.999 0.279
2.781 -7.241 2.913
-0.973 4.291 11.595
Ge P Ce
4 8 12
direct
0.750 0.126 0.919
0.750 0.626 0.581
0.250 0.374 0.419
0.250 0.874 0.081
0.250 0.877 0.416
0.749 0.125 0.248
0.750 0.623 0.916
0.251 0.375 0.748
0.749 0.625 0.252
0.250 0.377 0.084
0.251 0.875 0.752
0.750 0.123 0.584
0.750 0.869 0.086
0.751 0.375 0.749
0.249 0.625 0.251
0.750 0.881 0.413
0.250 0.619 0.913
0.250 0.131 0.914
0.250 0.631 0.586
0.750 0.369 0.414
0.750 0.381 0.087
0.249 0.125 0.249
0.751 0.875 0.751
0.250 0.119 0.587
```

Calculated values
* raw total energy: -6.75 eV/atom
* space-group type: P2_1/c
* formation energy: -1.21 eV per atom

(19)
## PrI2 (GGA-PBE)

Data for a relaxed PrI2 crystal.

POSCAR file:
```
PrI2
1.0
4.257 0.000 0.000
-2.128 3.687 0.000
0.000 0.000 33.609
Pr I
4 8
direct
0.756 0.757 0.376
0.757 0.756 0.624
0.243 0.244 0.124
0.244 0.243 0.876
0.576 0.911 0.186
0.089 0.425 0.439
0.575 0.911 0.061
0.425 0.089 0.561
0.424 0.089 0.686
0.911 0.575 0.939
0.089 0.424 0.314
0.911 0.576 0.814
```

Calculated values
* raw total energy: -3.96 eV/atom
* formation energy from raw total energies: -1336 meV/atom
* space-group type: C222_1

(20)
## Al2TeAs (GGA-PBE)

Data for a relaxed Al2TeAs crystal.

POSCAR file:
```
Al2TeAs
1.0
-4.475 1.846 -2.180
-2.263 -2.543 2.490
-0.553 2.568 3.308
Te Al As
1 2 1
direct
0.500 0.818 0.818
0.000 0.951 0.952
0.500 0.389 0.389
0.000 0.342 0.342
```

Calculated values
* raw total energy: -4.01 eV/atom
* energy relative to the lowest polymorph listed for this composition: 61 meV per atom
* formation energy from raw total energies: -188 meV/atom
* space-group type: Amm2

(21)
## Ca3ZrZn (GGA-PBE)

Data for a relaxed Ca3ZrZn crystal.

POSCAR file:
```
Ca3ZrZn
1.0
-3.632 2.765 3.249
-4.020 -0.791 -3.821
-1.427 -4.809 2.497
Zn Ca Zr
1 3 1
direct
0.000 0.000 0.000
0.000 0.000 0.500
0.000 0.500 0.000
0.500 0.000 0.000
0.500 0.500 0.500
```

Calculated values
* raw total energy: -2.66 eV/atom
* energy relative to the lowest polymorph listed for this composition: 0 meV per atom
* space-group type: Pm-3m
* formation energy: 0.50 eV per atom

(22)
## K2Zn2Cu (GGA-PBE)

Data for a relaxed K2Zn2Cu crystal.

POSCAR file:
```
K2Zn2Cu
1.0
-3.969 3.989 3.933
-5.418 -1.511 -3.936
-1.184 -4.482 3.351
Zn K Cu
4 4 2
direct
0.856 0.644 0.000
0.644 0.144 0.000
0.356 0.856 0.000
0.144 0.356 0.000
0.318 0.182 0.500
0.682 0.818 0.500
0.818 0.318 0.500
0.182 0.682 0.500
0.500 0.500 0.000
0.000 0.000 0.000
```

Calculated values
* raw total energy: -1.54 eV/atom
* space-group type: P4/mbm
* formation energy: 0.23 eV per atom